Record 1
{
  "formula": "NaErTh2Bi4",
  "functional": "PBE",
  "state": "relaxed",
  "total_energy_ev_per_atom": -5.09,
  "delta_e_f_mev_per_atom": -556,
  "dos_at_fermi_per_ev_atom": 0.2566,
  "lattice": [[4.599, 0.000, 0.000], [0.000, 8.002, 0.209], [0.000, -2.775, 7.264]],
  "species": ["Na", "Bi", "Bi", "Bi", "Bi", "Er", "Th", "Th"],
  "frac_coords": [[0.500, 0.500, 0.000], [0.000, 0.248, 0.751], [0.000, 0.752, 0.249], [0.500, 0.753, 0.758], [0.500, 0.247, 0.242], [0.000, 0.000, 0.000], [0.000, 0.500, 0.500], [0.500, 0.000, 0.500]]
}

***

Record 2
{
  "formula": "LaDy2Pb",
  "functional": "PBE",
  "state": "relaxed",
  "total_energy_ev_per_atom": -4.41,
  "delta_e_f_mev_per_atom": 46,
  "dos_at_fermi_per_ev_atom": 0.8221,
  "e_above_lowest_polymorph_mev_per_atom": 377.0,
  "lattice": [[-0.232, 2.467, 2.573], [-1.767, -0.728, 3.018], [9.583, -3.648, 6.842]],
  "species": ["La", "Dy", "Dy", "Pb"],
  "frac_coords": [[0.500, 0.500, 0.500], [0.913, 0.913, 0.261], [0.087, 0.087, 0.739], [0.000, 0.000, 0.000]]
}

***

Record 3
{
  "formula": "NbAs2F",
  "functional": "PBE",
  "state": "relaxed",
  "total_energy_ev_per_atom": -5.41,
  "dos_at_fermi_per_ev_atom": 0.8504,
  "e_form_raw_ev_per_fu": -0.41,
  "e_above_lowest_polymorph_mev_per_atom": 182.5,
  "lattice": [[-3.278, 4.585, 0.229], [-2.694, -1.694, -4.658], [-6.825, -1.463, 1.064]],
  "species": ["As", "As", "As", "As", "Nb", "Nb", "F", "F"],
  "frac_coords": [[0.875, 0.871, 0.750], [0.129, 0.625, 0.250], [0.375, 0.379, 0.750], [0.621, 0.125, 0.250], [0.750, 0.250, 0.500], [0.000, 0.000, 0.000], [0.250, 0.750, 0.500], [0.500, 0.500, 0.000]]
}

***

Record 4
{
  "formula": "AgP2RuO8",
  "functional": "PBE",
  "state": "relaxed",
  "total_energy_ev_per_atom": -6.70,
  "dos_at_fermi_per_ev_atom": 0.3253,
  "e_form_raw_ev_per_fu": -17.78,
  "lattice": [[4.865, -0.120, -0.278], [2.138, 4.372, -0.278], [-0.092, -0.056, 7.531]],
  "species": ["O", "O", "O", "O", "O", "O", "O", "O", "P", "P", "Ag", "Ru"],
  "frac_coords": [[0.306, 0.787, 0.190], [0.748, 0.748, 0.396], [0.787, 0.306, 0.190], [0.213, 0.694, 0.810], [0.229, 0.229, 0.947], [0.252, 0.252, 0.604], [0.771, 0.771, 0.053], [0.694, 0.213, 0.810], [0.661, 0.661, 0.212], [0.339, 0.339, 0.788], [0.000, 0.000, 0.500], [0.000, 0.000, 0.000]]
}

***

Record 5
{
  "formula": "Tb2PrEr2Th2",
  "functional": "PBE",
  "state": "relaxed",
  "total_energy_ev_per_atom": -5.27,
  "delta_e_f_mev_per_atom": 158,
  "dos_at_fermi_per_ev_atom": 1.5004,
  "lattice": [[3.475, 0.000, 0.000], [-1.738, 15.031, -1.148], [0.000, -7.383, 4.985]],
  "species": ["Tb", "Tb", "Er", "Er", "Pr", "Th", "Th"],
  "frac_coords": [[0.727, 0.454, 0.105], [0.273, 0.546, 0.895], [0.348, 0.696, 0.747], [0.652, 0.304, 0.253], [0.000, 0.000, 0.500], [0.569, 0.138, 0.361], [0.431, 0.862, 0.639]]
}

***

Record 6
{
  "formula": "Tl2InHg7",
  "functional": "PBE",
  "state": "relaxed",
  "total_energy_ev_per_atom": -0.94,
  "delta_e_f_mev_per_atom": 18,
  "dos_at_fermi_per_ev_atom": 0.3565,
  "e_above_lowest_polymorph_mev_per_atom": 0.0,
  "lattice": [[3.245, 0.000, 0.000], [0.000, 6.235, -1.472], [0.000, -0.001, 13.930]],
  "species": ["Tl", "Tl", "Hg", "Hg", "Hg", "Hg", "Hg", "Hg", "Hg", "In"],
  "frac_coords": [[0.500, 0.296, 0.592], [0.500, 0.704, 0.408], [0.000, 0.189, 0.377], [0.500, 0.346, 0.195], [0.000, 0.811, 0.623], [0.500, 0.849, 0.195], [0.500, 0.151, 0.805], [0.500, 0.500, 0.000], [0.500, 0.654, 0.805], [0.000, 0.000, 0.000]]
}

***

Record 7
{
  "formula": "TiSiIO2",
  "functional": "PBE",
  "state": "relaxed",
  "total_energy_ev_per_atom": -5.45,
  "dos_at_fermi_per_ev_atom": 0.7603,
  "e_form_raw_ev_per_fu": -2.49,
  "e_above_lowest_polymorph_mev_per_atom": 386.2,
  "lattice": [[-1.650, 1.806, -2.777], [-2.883, -2.311, 0.211], [-2.590, 3.585, 3.871]],
  "species": ["O", "O", "Si", "Ti", "I"],
  "frac_coords": [[0.000, 0.500, 0.000], [0.500, 0.000, 0.000], [0.000, 0.000, 0.000], [0.500, 0.500, 0.500], [0.000, 0.000, 0.500]]
}

***

Record 8
{
  "formula": "Sr2CuIr",
  "functional": "PBE",
  "state": "relaxed",
  "total_energy_ev_per_atom": -4.05,
  "delta_e_f_mev_per_atom": 27,
  "dos_at_fermi_per_ev_atom": 0.3797,
  "lattice": [[3.574, 0.000, 0.000], [0.000, 3.684, 0.023], [0.000, 3.641, 7.703]],
  "species": ["Sr", "Sr", "Cu", "Ir"],
  "frac_coords": [[0.000, 0.481, 0.519], [0.000, 0.019, 0.981], [0.500, 0.250, 0.250], [0.500, 0.750, 0.750]]
}

***

> What is the formula in the fifth record?

Tb2PrEr2Th2